Compound: CoRe2Cl
Source: the Alexandria database
Functional: PBE
Structure: relaxed

Calculated values
Final energy (eV/atom): -7.513
Magnetic moment (μB/atom): 0.000
Calculated density (Mg/m³): 14.5
E above lowest polymorph (eV/atom): 0.582
D(E_F) (states/eV per cell): 1.0
Raw formation energy (meV/atom): 949

Cell: 4.2290 4.2290 4.2290 Å, 60.00 60.00 60.00°
Fractional coordinates of all 4 atoms:
Co 0.0000 0.0000 0.0000
Re 0.2500 0.2500 0.2500
Re 0.7500 0.7500 0.7500
Cl 0.5000 0.5000 0.5000


Compound: Tl8Hg3Bi
Source: the Alexandria database
Functional: PBE
Structure: relaxed

Calculated values
Final energy (eV/atom): -1.973
Magnetic moment (μB/atom): 0.000
Calculated density (Mg/m³): 11.2
D(E_F) (states/eV per cell): 5.7
DFT formation energy (eV/atom): 0.00

Cell: 7.8007 7.8007 6.5924 Å, 107.24 107.24 90.81°
Fractional coordinates of all 12 atoms:
Tl 0.0000 0.0000 0.0000
Tl 0.1945 0.1945 0.7237
Tl 0.2353 0.7054 0.7145
Tl 0.3709 0.8898 0.3573
Tl 0.5203 0.5203 0.0733
Tl 0.7054 0.2353 0.7145
Tl 0.8556 0.8556 0.3622
Tl 0.8898 0.3709 0.3573
Hg 0.0447 0.5504 0.0361
Hg 0.3324 0.3324 0.3577
Hg 0.5504 0.0447 0.0361
Bi 0.6652 0.6652 0.6703


Compound: UFe4Sb12
Source: the Alexandria database
Functional: PBE
Structure: relaxed

Calculated values
Final energy (eV/atom): -5.670
Magnetic moment (μB/atom): 0.111
Calculated density (Mg/m³): 8.4
D(E_F) (states/eV per cell): 12.3
Raw formation energy (meV/atom): -105

Cell: 7.9119 7.9119 7.9119 Å, 109.47 109.47 109.47°
Fractional coordinates of all 17 atoms:
U 0.0000 0.0000 0.0000
Fe 0.0000 0.0000 0.5000
Fe 0.0000 0.5000 0.0000
Fe 0.5000 0.0000 0.0000
Fe 0.5000 0.5000 0.5000
Sb 0.1625 0.3322 0.4947
Sb 0.1625 0.6678 0.8303
Sb 0.1697 0.8375 0.3322
Sb 0.3322 0.1697 0.8375
Sb 0.3322 0.4947 0.1625
Sb 0.4947 0.1625 0.3322
Sb 0.5053 0.8375 0.6678
Sb 0.6678 0.5053 0.8375
Sb 0.6678 0.8303 0.1625
Sb 0.8303 0.1625 0.6678
Sb 0.8375 0.3322 0.1697
Sb 0.8375 0.6678 0.5053